This record from the Alexandria database describes Sm3Ho2UN6 after structural relaxation. The functional is GGA-PBE.

Lattice parameters (Å, degrees): 6.052 10.471 6.096 90.00 109.30 90.00
Space group C2/m (No. 12)
Inequivalent atoms, fractional coordinates:
Sm: 0.000 0.000 0.000 (multiplicity 2)
Sm: 0.000 0.332 0.000 (multiplicity 4)
Ho: 0.000 0.166 0.500 (multiplicity 4)
U: 0.000 0.500 0.500 (multiplicity 2)
N: 0.233 0.343 0.727 (multiplicity 8)
N: 0.238 0.500 0.273 (multiplicity 4)

**Calculated volume**: 15.19 Å³ per atom
**Crystal system**: monoclinic
**Total DFT energy (no corrections)**: -8.64 eV/atom
**Density of states at the Fermi level**: 11.0 states/eV per cell